No. 1
# SCAN LaTaMo, single point on PBEsol structure
# Total energy in eV/atom: -47.620
data_LaTaMo
_chemical_formula_sum 'La1 Ta1 Mo1'
_symmetry_space_group_name_H-M 'P 1'
_symmetry_Int_Tables_number 1
_cell_length_a 3.221
_cell_length_b 4.622
_cell_length_c 4.622
_cell_angle_alpha 120.00
_cell_angle_beta 90.00
_cell_angle_gamma 90.00
loop_
_symmetry_equiv_pos_as_xyz
'x,y,z'
loop_
_atom_site_label
_atom_site_fract_x
_atom_site_fract_y
_atom_site_fract_z
La1 0.978 0.000 0.000
Mo1 0.657 0.333 0.667
Ta1 0.365 0.667 0.333

***

No. 2
# SCAN Bi3OsF, single point on PBEsol structure
# Raw formation energy in eV/atom: 0.4644
# Total energy in eV/atom: -61.767
data_Bi3OsF
_chemical_formula_sum 'Bi3 Os1 F1'
_symmetry_space_group_name_H-M 'P 1'
_symmetry_Int_Tables_number 1
_cell_length_a 5.260
_cell_length_b 5.260
_cell_length_c 5.260
_cell_angle_alpha 90.00
_cell_angle_beta 90.00
_cell_angle_gamma 90.00
loop_
_symmetry_equiv_pos_as_xyz
'x,y,z'
loop_
_atom_site_label
_atom_site_fract_x
_atom_site_fract_y
_atom_site_fract_z
Os1 0.000 0.000 0.000
Bi1 0.000 0.500 0.000
Bi2 0.000 0.000 0.500
Bi3 0.500 0.000 0.000
F1 0.500 0.500 0.500

***

No. 3
# SCAN KSr3Au, single point on PBEsol structure
# Total energy in eV/atom: -29.261
data_KSr3Au
_chemical_formula_sum 'K1 Sr3 Au1'
_symmetry_space_group_name_H-M 'P 1'
_symmetry_Int_Tables_number 1
_cell_length_a 6.164
_cell_length_b 6.164
_cell_length_c 6.164
_cell_angle_alpha 90.00
_cell_angle_beta 90.00
_cell_angle_gamma 90.00
loop_
_symmetry_equiv_pos_as_xyz
'x,y,z'
loop_
_atom_site_label
_atom_site_fract_x
_atom_site_fract_y
_atom_site_fract_z
Sr1 0.000 0.500 0.000
Sr2 0.000 0.000 0.500
Sr3 0.500 0.000 0.000
K1 0.500 0.500 0.500
Au1 0.000 0.000 0.000

***

No. 4
# SCAN CsPbIO2, single point on PBEsol structure
# Raw formation energy in eV/atom: -0.5194
# Total energy in eV/atom: -33.079
data_CsPbIO2
_chemical_formula_sum 'Cs1 Pb1 I1 O2'
_symmetry_space_group_name_H-M 'P 1'
_symmetry_Int_Tables_number 1
_cell_length_a 4.656
_cell_length_b 4.656
_cell_length_c 6.073
_cell_angle_alpha 90.00
_cell_angle_beta 90.00
_cell_angle_gamma 90.00
loop_
_symmetry_equiv_pos_as_xyz
'x,y,z'
loop_
_atom_site_label
_atom_site_fract_x
_atom_site_fract_y
_atom_site_fract_z
Pb1 0.000 0.000 0.000
Cs1 0.500 0.500 0.500
I1 0.000 0.000 0.500
O1 0.000 0.500 0.000
O2 0.500 0.000 0.000

***

No. 5
# SCAN Li3VO4, single point on PBEsol structure
# Raw formation energy in eV/atom: -2.5808
# Total energy in eV/atom: -8.779
data_Li3VO4
_chemical_formula_sum 'Li6 V2 O8'
_symmetry_space_group_name_H-M 'P 1'
_symmetry_Int_Tables_number 1
_cell_length_a 4.906
_cell_length_b 5.418
_cell_length_c 6.286
_cell_angle_alpha 90.00
_cell_angle_beta 90.00
_cell_angle_gamma 90.00
loop_
_symmetry_equiv_pos_as_xyz
'x,y,z'
loop_
_atom_site_label
_atom_site_fract_x
_atom_site_fract_y
_atom_site_fract_z
Li1 0.989 0.332 0.247
Li2 0.489 0.668 0.253
Li3 0.489 0.668 0.747
Li4 0.989 0.332 0.753
Li5 0.989 0.833 0.500
Li6 0.489 0.167 0.000
V1 0.999 0.831 0.000
V2 0.499 0.169 0.500
O1 0.890 0.680 0.225
O2 0.348 0.828 0.000
O3 0.890 0.680 0.775
O4 0.390 0.320 0.275
O5 0.390 0.320 0.725
O6 0.391 0.868 0.500
O7 0.891 0.132 0.000
O8 0.848 0.172 0.500

***

No. 6
# SCAN CrNiIr2, single point on PBEsol structure
# Total energy in eV/atom: -44.393
data_CrNiIr2
_chemical_formula_sum 'Cr1 Ni1 Ir2'
_symmetry_space_group_name_H-M 'P 1'
_symmetry_Int_Tables_number 1
_cell_length_a 3.751
_cell_length_b 3.751
_cell_length_c 4.432
_cell_angle_alpha 115.03
_cell_angle_beta 115.03
_cell_angle_gamma 90.00
loop_
_symmetry_equiv_pos_as_xyz
'x,y,z'
loop_
_atom_site_label
_atom_site_fract_x
_atom_site_fract_y
_atom_site_fract_z
Ni1 0.500 0.500 0.000
Ir1 0.750 0.250 0.500
Ir2 0.250 0.750 0.500
Cr1 0.000 0.000 0.000

***

No. 7
# SCAN MgOs2, single point on PBEsol structure
# Total energy in eV/atom: -49.394
data_MgOs2
_chemical_formula_sum 'Mg2 Os4'
_symmetry_space_group_name_H-M 'P 1'
_symmetry_Int_Tables_number 1
_cell_length_a 5.162
_cell_length_b 5.162
_cell_length_c 5.162
_cell_angle_alpha 60.00
_cell_angle_beta 60.00
_cell_angle_gamma 60.00
loop_
_symmetry_equiv_pos_as_xyz
'x,y,z'
loop_
_atom_site_label
_atom_site_fract_x
_atom_site_fract_y
_atom_site_fract_z
Mg1 0.750 0.750 0.750
Mg2 0.500 0.500 0.500
Os1 0.125 0.125 0.625
Os2 0.125 0.625 0.125
Os3 0.125 0.125 0.125
Os4 0.625 0.125 0.125

***

No. 8
# SCAN ScGaRh3, single point on PBEsol structure
# Total energy in eV/atom: -26.397
data_ScGaRh3
_chemical_formula_sum 'Sc1 Ga1 Rh3'
_symmetry_space_group_name_H-M 'P 1'
_symmetry_Int_Tables_number 1
_cell_length_a 4.447
_cell_length_b 4.447
_cell_length_c 4.447
_cell_angle_alpha 90.00
_cell_angle_beta 90.00
_cell_angle_gamma 90.00
loop_
_symmetry_equiv_pos_as_xyz
'x,y,z'
loop_
_atom_site_label
_atom_site_fract_x
_atom_site_fract_y
_atom_site_fract_z
Sc1 0.500 0.500 0.500
Rh1 0.000 0.500 0.000
Rh2 0.000 0.000 0.500
Rh3 0.500 0.000 0.000
Ga1 0.000 0.000 0.000

***

No. 9
# SCAN Sn3Mo15Se19, single point on PBEsol structure
# Raw formation energy in eV/atom: -0.5082
# Total energy in eV/atom: -27.874
data_Sn3Mo15Se19
_chemical_formula_sum 'Sn6 Mo30 Se38'
_symmetry_space_group_name_H-M 'P 1'
_symmetry_Int_Tables_number 1
_cell_length_a 9.714
_cell_length_b 9.674
_cell_length_c 19.358
_cell_angle_alpha 90.00
_cell_angle_beta 90.00
_cell_angle_gamma 119.59
loop_
_symmetry_equiv_pos_as_xyz
'x,y,z'
loop_
_atom_site_label
_atom_site_fract_x
_atom_site_fract_y
_atom_site_fract_z
Sn1 0.678 0.380 0.607
Sn2 0.322 0.620 0.107
Sn3 0.322 0.620 0.393
Sn4 0.678 0.380 0.893
Sn5 0.829 0.037 0.750
Sn6 0.171 0.963 0.250
Mo1 0.189 0.506 0.635
Mo2 0.316 0.817 0.635
Mo3 0.498 0.684 0.635
Mo4 0.811 0.494 0.135
Mo5 0.684 0.183 0.135
Mo6 0.502 0.316 0.135
Mo7 0.811 0.494 0.365
Mo8 0.684 0.183 0.365
Mo9 0.502 0.316 0.365
Mo10 0.189 0.506 0.865
Mo11 0.316 0.817 0.865
Mo12 0.498 0.684 0.865
Mo13 0.152 0.169 0.557
Mo14 0.017 0.848 0.556
Mo15 0.842 0.986 0.558
Mo16 0.848 0.831 0.057
Mo17 0.983 0.152 0.056
Mo18 0.158 0.014 0.058
Mo19 0.848 0.831 0.443
Mo20 0.983 0.152 0.444
Mo21 0.158 0.014 0.442
Mo22 0.152 0.169 0.943
Mo23 0.017 0.848 0.944
Mo24 0.842 0.986 0.942
Mo25 0.353 0.518 0.750
Mo26 0.173 0.662 0.750
Mo27 0.495 0.842 0.750
Mo28 0.647 0.482 0.250
Mo29 0.827 0.338 0.250
Mo30 0.505 0.158 0.250
Se1 0.051 0.360 0.750
Se2 0.315 0.966 0.750
Se3 0.654 0.686 0.750
Se4 0.949 0.640 0.250
Se5 0.685 0.034 0.250
Se6 0.346 0.314 0.250
Se7 0.028 0.004 0.661
Se8 0.972 0.996 0.161
Se9 0.972 0.996 0.339
Se10 0.028 0.004 0.839
Se11 0.377 0.379 0.641
Se12 0.008 0.630 0.642
Se13 0.615 0.996 0.633
Se14 0.623 0.621 0.141
Se15 0.992 0.370 0.142
Se16 0.385 0.004 0.133
Se17 0.623 0.621 0.359
Se18 0.992 0.370 0.358
Se19 0.385 0.004 0.367
Se20 0.377 0.379 0.859
Se21 0.008 0.630 0.858
Se22 0.615 0.996 0.867
Se23 0.964 0.290 0.553
Se24 0.323 0.038 0.550
Se25 0.711 0.673 0.551
Se26 0.036 0.710 0.053
Se27 0.677 0.962 0.050
Se28 0.289 0.327 0.051
Se29 0.036 0.710 0.447
Se30 0.677 0.962 0.450
Se31 0.289 0.327 0.449
Se32 0.964 0.290 0.947
Se33 0.323 0.038 0.950
Se34 0.711 0.673 0.949
Se35 0.664 0.329 0.032
Se36 0.336 0.671 0.532
Se37 0.336 0.671 0.968
Se38 0.664 0.329 0.468

***

No. 10
# SCAN Eu, single point on PBEsol structure
# Total energy in eV/atom: -53.711
data_Eu
_chemical_formula_sum 'Eu2'
_symmetry_space_group_name_H-M 'P 1'
_symmetry_Int_Tables_number 1
_cell_length_a 3.801
_cell_length_b 3.801
_cell_length_c 6.115
_cell_angle_alpha 90.00
_cell_angle_beta 90.00
_cell_angle_gamma 120.00
loop_
_symmetry_equiv_pos_as_xyz
'x,y,z'
loop_
_atom_site_label
_atom_site_fract_x
_atom_site_fract_y
_atom_site_fract_z
Eu1 0.333 0.667 0.250
Eu2 0.667 0.333 0.750

***

No. 11
# SCAN SnAs3Pd, single point on PBEsol structure
# Total energy in eV/atom: -24.530
data_SnAs3Pd
_chemical_formula_sum 'Sn1 As3 Pd1'
_symmetry_space_group_name_H-M 'P 1'
_symmetry_Int_Tables_number 1
_cell_length_a 5.091
_cell_length_b 5.091
_cell_length_c 5.091
_cell_angle_alpha 90.00
_cell_angle_beta 90.00
_cell_angle_gamma 90.00
loop_
_symmetry_equiv_pos_as_xyz
'x,y,z'
loop_
_atom_site_label
_atom_site_fract_x
_atom_site_fract_y
_atom_site_fract_z
As1 0.000 0.500 0.000
As2 0.000 0.000 0.500
As3 0.500 0.000 0.000
Sn1 0.000 0.000 0.000
Pd1 0.500 0.500 0.500

***

No. 12
# SCAN ZnAgI2F, single point on PBEsol structure
# Raw formation energy in eV/atom: -0.2505
# Total energy in eV/atom: -24.632
data_ZnAgI2F
_chemical_formula_sum 'Zn1 Ag1 I2 F1'
_symmetry_space_group_name_H-M 'P 1'
_symmetry_Int_Tables_number 1
_cell_length_a 4.154
_cell_length_b 5.559
_cell_length_c 5.559
_cell_angle_alpha 90.00
_cell_angle_beta 90.00
_cell_angle_gamma 90.00
loop_
_symmetry_equiv_pos_as_xyz
'x,y,z'
loop_
_atom_site_label
_atom_site_fract_x
_atom_site_fract_y
_atom_site_fract_z
I1 0.000 0.000 0.500
I2 0.000 0.500 0.000
Zn1 0.500 0.500 0.500
Ag1 0.000 0.000 0.000
F1 0.500 0.000 0.000

***

Please write out number 9 again, unchanged.
# SCAN Sn3Mo15Se19, single point on PBEsol structure
# Raw formation energy in eV/atom: -0.5082
# Total energy in eV/atom: -27.874
data_Sn3Mo15Se19
_chemical_formula_sum 'Sn6 Mo30 Se38'
_symmetry_space_group_name_H-M 'P 1'
_symmetry_Int_Tables_number 1
_cell_length_a 9.714
_cell_length_b 9.674
_cell_length_c 19.358
_cell_angle_alpha 90.00
_cell_angle_beta 90.00
_cell_angle_gamma 119.59
loop_
_symmetry_equiv_pos_as_xyz
'x,y,z'
loop_
_atom_site_label
_atom_site_fract_x
_atom_site_fract_y
_atom_site_fract_z
Sn1 0.678 0.380 0.607
Sn2 0.322 0.620 0.107
Sn3 0.322 0.620 0.393
Sn4 0.678 0.380 0.893
Sn5 0.829 0.037 0.750
Sn6 0.171 0.963 0.250
Mo1 0.189 0.506 0.635
Mo2 0.316 0.817 0.635
Mo3 0.498 0.684 0.635
Mo4 0.811 0.494 0.135
Mo5 0.684 0.183 0.135
Mo6 0.502 0.316 0.135
Mo7 0.811 0.494 0.365
Mo8 0.684 0.183 0.365
Mo9 0.502 0.316 0.365
Mo10 0.189 0.506 0.865
Mo11 0.316 0.817 0.865
Mo12 0.498 0.684 0.865
Mo13 0.152 0.169 0.557
Mo14 0.017 0.848 0.556
Mo15 0.842 0.986 0.558
Mo16 0.848 0.831 0.057
Mo17 0.983 0.152 0.056
Mo18 0.158 0.014 0.058
Mo19 0.848 0.831 0.443
Mo20 0.983 0.152 0.444
Mo21 0.158 0.014 0.442
Mo22 0.152 0.169 0.943
Mo23 0.017 0.848 0.944
Mo24 0.842 0.986 0.942
Mo25 0.353 0.518 0.750
Mo26 0.173 0.662 0.750
Mo27 0.495 0.842 0.750
Mo28 0.647 0.482 0.250
Mo29 0.827 0.338 0.250
Mo30 0.505 0.158 0.250
Se1 0.051 0.360 0.750
Se2 0.315 0.966 0.750
Se3 0.654 0.686 0.750
Se4 0.949 0.640 0.250
Se5 0.685 0.034 0.250
Se6 0.346 0.314 0.250
Se7 0.028 0.004 0.661
Se8 0.972 0.996 0.161
Se9 0.972 0.996 0.339
Se10 0.028 0.004 0.839
Se11 0.377 0.379 0.641
Se12 0.008 0.630 0.642
Se13 0.615 0.996 0.633
Se14 0.623 0.621 0.141
Se15 0.992 0.370 0.142
Se16 0.385 0.004 0.133
Se17 0.623 0.621 0.359
Se18 0.992 0.370 0.358
Se19 0.385 0.004 0.367
Se20 0.377 0.379 0.859
Se21 0.008 0.630 0.858
Se22 0.615 0.996 0.867
Se23 0.964 0.290 0.553
Se24 0.323 0.038 0.550
Se25 0.711 0.673 0.551
Se26 0.036 0.710 0.053
Se27 0.677 0.962 0.050
Se28 0.289 0.327 0.051
Se29 0.036 0.710 0.447
Se30 0.677 0.962 0.450
Se31 0.289 0.327 0.449
Se32 0.964 0.290 0.947
Se33 0.323 0.038 0.950
Se34 0.711 0.673 0.949
Se35 0.664 0.329 0.032
Se36 0.336 0.671 0.532
Se37 0.336 0.671 0.968
Se38 0.664 0.329 0.468

***

- Look up the total energy of the eighth one.
  -26.397 eV/atom

***

Copy entry 3 word for word.
# SCAN KSr3Au, single point on PBEsol structure
# Total energy in eV/atom: -29.261
data_KSr3Au
_chemical_formula_sum 'K1 Sr3 Au1'
_symmetry_space_group_name_H-M 'P 1'
_symmetry_Int_Tables_number 1
_cell_length_a 6.164
_cell_length_b 6.164
_cell_length_c 6.164
_cell_angle_alpha 90.00
_cell_angle_beta 90.00
_cell_angle_gamma 90.00
loop_
_symmetry_equiv_pos_as_xyz
'x,y,z'
loop_
_atom_site_label
_atom_site_fract_x
_atom_site_fract_y
_atom_site_fract_z
Sr1 0.000 0.500 0.000
Sr2 0.000 0.000 0.500
Sr3 0.500 0.000 0.000
K1 0.500 0.500 0.500
Au1 0.000 0.000 0.000